# ReB2Te2

A relaxed ReB2Te2 crystal (GGA-PBE, the Alexandria database).

The space group is I4/mmm (No. 139) and the conventional cell measures 3.112, 3.112 and 16.344 Å, with angles of 90.00, 90.00 and 90.00 degrees. The distinct sites, in fractional coordinates, are Re at (0.000, 0.000, 0.000), B at (0.000, 0.500, 0.250) and Te at (0.000, 0.000, 0.392).

The calculation puts the total DFT energy (no corrections) at -5.1620 eV/atom. The magnetization comes out at 0.00 Bohr magnetons per cell. The value obtained for the density of states at the Fermi level is 2.88 states/eV/f.u. As for the energy above the lowest structure with this stoichiometry: 0 meV/atom.